Material: La5Pm3Tl3
Method: DFT, PBE
State: optimized geometry

Values from the calculation:
Volume in Å³/cell: 759.6
Size of the total moment in μB per cell: 0.0
Uncorrected energy in eV per atom: -4.084
DFT formation energy in eV per atom: 0.097

abc: 19.325 11.157 3.523
angles: 90.00 90.06 90.00
Space group C2 (No. 5)
Unique sites:
La: 0.000 0.000 0.000 [2 per cell]
La: 0.167 0.842 0.000 [4 per cell]
La: 0.171 0.513 0.000 [4 per cell]
Pm: 0.000 0.511 0.000 [2 per cell]
Pm: 0.084 0.258 0.999 [4 per cell]
Tl: 0.000 0.753 0.500 [2 per cell]
Tl: 0.205 0.137 0.500 [4 per cell]